Record 1
Below is a relaxed structure of Rb2NbCdN, with properties calculated at the GGA-PBE level.

Lattice parameters (Å, degrees): 6.537 6.537 4.056 90.00 90.00 90.00
Fractional coordinates of all 5 atoms:
Rb 0.000 0.500 0.000
Rb 0.500 0.000 0.000
Nb 0.000 0.000 0.500
Cd 0.500 0.500 0.500
N 0.000 0.000 0.000

SG = P4/mmm (123)
formation energy from raw total energies = 31.3 kJ per mole of atoms



Record 2
Below is a relaxed structure of Pm2BeH, with properties calculated at the GGA-PBE level.

Lattice parameters (Å, degrees): 3.359 3.359 26.903 90.00 90.00 120.00
Fractional coordinates of all 12 atoms:
Pm 0.000 0.000 0.109
Pm 0.000 0.000 0.891
Pm 0.333 0.667 0.558
Pm 0.333 0.667 0.776
Pm 0.667 0.333 0.224
Pm 0.667 0.333 0.442
Be 0.000 0.000 0.000
Be 0.333 0.667 0.667
Be 0.667 0.333 0.333
H 0.000 0.000 0.500
H 0.333 0.667 0.167
H 0.667 0.333 0.833

SG = R-3m (166)



Record 3
Below is a relaxed structure of YThNiRu, with properties calculated at the GGA-PBE level.

Lattice parameters (Å, degrees): 4.067 3.859 10.964 90.00 90.00 90.00
Fractional coordinates of all 8 atoms:
Y 0.000 0.000 0.000
Y 0.000 0.500 0.500
Th 0.500 0.000 0.724
Th 0.500 0.500 0.224
Ni 0.500 0.000 0.440
Ni 0.500 0.500 0.940
Ru 0.000 0.000 0.275
Ru 0.000 0.500 0.775

ΔH_f (0 K) = -0.4746 eV/atom
SG = Amm2 (38)



Record 4
Below is a relaxed structure of Cr3Ir, with properties calculated at the GGA-PBE level.

Lattice parameters (Å, degrees): 5.993 8.375 4.099 90.00 90.00 90.00
Fractional coordinates of all 16 atoms:
Cr 0.000 0.135 0.250
Cr 0.000 0.865 0.750
Cr 0.228 0.115 0.750
Cr 0.228 0.885 0.250
Cr 0.272 0.385 0.250
Cr 0.272 0.615 0.750
Cr 0.500 0.365 0.750
Cr 0.500 0.635 0.250
Cr 0.728 0.385 0.250
Cr 0.728 0.615 0.750
Cr 0.772 0.115 0.750
Cr 0.772 0.885 0.250
Ir 0.000 0.378 0.750
Ir 0.000 0.622 0.250
Ir 0.500 0.122 0.250
Ir 0.500 0.878 0.750

ΔH_f (0 K) = -0.0004 eV/atom
SG = Cmcm (63)



Record 5
Below is a relaxed structure of HoPa3, with properties calculated at the GGA-PBE level.

Lattice parameters (Å, degrees): 4.680 4.680 9.431 90.00 90.00 90.00
Fractional coordinates of all 8 atoms:
Ho 0.000 0.000 0.000
Ho 0.500 0.500 0.500
Pa 0.000 0.000 0.500
Pa 0.000 0.500 0.250
Pa 0.000 0.500 0.750
Pa 0.500 0.000 0.250
Pa 0.500 0.000 0.750
Pa 0.500 0.500 0.000

ΔH_f (0 K) = 0.1482 eV/atom
SG = I4/mmm (139)



Record 6
Below is a relaxed structure of CuHg2SbSe4, with properties calculated at the GGA-PBE level.

Lattice parameters (Å, degrees): 7.537 7.482 6.206 66.05 65.13 48.81
Fractional coordinates of all 8 atoms:
Cu 0.000 0.000 0.000
Hg 0.250 0.250 0.250
Hg 0.750 0.750 0.750
Sb 0.497 0.497 0.503
Se 0.105 0.661 0.339
Se 0.345 0.891 0.655
Se 0.661 0.105 0.895
Se 0.891 0.345 0.109

SG = Fmm2 (42)
formation energy from raw total energies = -13.9 kJ per mole of atoms



Record 7
Below is a relaxed structure of Y2HgTe2, with properties calculated at the GGA-PBE level.

Lattice parameters (Å, degrees): 8.609 8.609 3.858 90.00 90.00 90.00
Fractional coordinates of all 10 atoms:
Y 0.152 0.348 0.000
Y 0.348 0.848 0.000
Y 0.652 0.152 0.000
Y 0.848 0.652 0.000
Hg 0.000 0.000 0.500
Hg 0.500 0.500 0.500
Te 0.142 0.642 0.500
Te 0.358 0.142 0.500
Te 0.642 0.858 0.500
Te 0.858 0.358 0.500

SG = P4/mbm (127)
formation energy from raw total energies = -87.0 kJ per mole of atoms



Record 8
Below is a relaxed structure of Y2IrAu, with properties calculated at the GGA-PBE level.

Lattice parameters (Å, degrees): 4.615 3.714 10.616 90.00 90.00 90.00
Fractional coordinates of all 8 atoms:
Y 0.000 0.000 0.000
Y 0.000 0.500 0.500
Y 0.500 0.000 0.280
Y 0.500 0.500 0.780
Ir 0.000 0.000 0.729
Ir 0.000 0.500 0.229
Au 0.500 0.000 0.558
Au 0.500 0.500 0.058

ΔH_f (0 K) = -0.8203 eV/atom
SG = Amm2 (38)



Computed D(E_F), in the same sequence as the records: 0.38; 0.89; 0.64; 0.85; 1.79; 0.01; 0.56; 0.62 states/eV/atom.
Computed final energy, in the same sequence as the records: -3.9249; -3.6199; -7.7099; -9.4332; -8.1182; -2.9890; -4.8044; -7.0870 eV/atom.